Compound: PrMg5Au6
Source: Alexandria via LeMat-Bulk
Functional: PBE
Structure: relaxed

Unit cell a=4.798 b=6.868 c=7.578 alpha=90.00 beta=108.19 gamma=90.00
Atoms (fractional coordinates):
Pr (0.000, 0.000, 0.000)
Mg (0.000, 0.500, 0.000)
Mg (0.327, 0.000, 0.655)
Mg (0.334, 0.500, 0.674)
Mg (0.666, 0.500, 0.326)
Mg (0.673, 0.000, 0.345)
Au (0.178, 0.266, 0.349)
Au (0.178, 0.734, 0.349)
Au (0.500, 0.276, 0.000)
Au (0.500, 0.724, 0.000)
Au (0.822, 0.266, 0.651)
Au (0.822, 0.734, 0.651)

## Properties
- Space group: P2/m, No. 10
- D(E_F): 0.2987 states/eV per atom
- Formation energy from the elements: -7.281 eV per formula unit
- Crystal system: monoclinic
- Spin magnetization: 0.0 μB/f.u.

Compound: Pr2MgAu
Source: Alexandria via LeMat-Bulk
Functional: PBE
Structure: relaxed

Unit cell a=3.851 b=3.851 c=7.495 alpha=90.00 beta=90.00 gamma=90.00
Atoms (fractional coordinates):
Pr (0.000, 0.000, 0.236)
Pr (0.000, 0.000, 0.764)
Mg (0.500, 0.500, 0.500)
Au (0.500, 0.500, 0.000)

## Properties
- E above lowest polymorph: 0.000 eV per atom
- Space group: P4/mmm, No. 123
- D(E_F): 0.7762 states/eV per atom
- Formation energy from the elements: -1.708 eV per formula unit
- Crystal system: tetragonal
- Spin magnetization: 0.0 μB/f.u.